[1]
Density functional theory data (PBE) for crystalline Tb7Pr3Dy at its relaxed geometry.

Output
E_form (eV per formula unit): 1.53
N(E_F) (states/eV per atom): 1.433
SG: No. 2
V (Å³/atom): 33.8
Calculated density (g/cm³): 7.59

Cell: 5.5772 7.0064 10.0796 Å, 70.60 89.96 89.93°
Closest atoms and distances in Å follow each position.
Atoms (fractional coordinates):
1 Tb 0.0000 0.0000 0.0000  4 Pr 3.42
2 Tb 0.9996 0.4227 0.1710  3 Tb 3.25-3.34, 1 Dy 3.53, 5 Pr 3.57-3.64
3 Tb 0.0004 0.5773 0.8290  3 Tb 3.25-3.34, 1 Dy 3.53, 5 Pr 3.57-3.64
4 Tb 0.4998 0.1468 0.7106  3 Tb 3.30-3.61, 2 Pr 3.38-3.40
5 Tb 0.4997 0.3229 0.3638  5 Tb 3.30-3.61, 2 Dy 3.51, 2 Pr 3.57
6 Tb 0.5003 0.6771 0.6362  5 Tb 3.30-3.61, 2 Dy 3.51, 2 Pr 3.57
7 Tb 0.5002 0.8532 0.2894  3 Tb 3.30-3.61, 2 Pr 3.38-3.40
8 Pr 0.0000 0.0000 0.5000  2 Dy 3.50, 10 Tb 3.57-3.85
9 Pr 0.4995 0.2802 0.0031  1 Pr 3.06, 4 Tb 3.38-3.42
10 Pr 0.5005 0.7198 0.9969  1 Pr 3.06, 4 Tb 3.38-3.42
11 Dy 0.0000 0.5000 0.5000  2 Pr 3.50, 10 Tb 3.51-3.86



[2]
Density functional theory data (PBE) for crystalline Tb8Pr2Dy at its relaxed geometry.

Output
E_form (eV per formula unit): 0.21
N(E_F) (states/eV per atom): 1.418
SG: No. 12
V (Å³/atom): 32.6
Calculated density (g/cm³): 7.94

Cell: 9.4868 9.4868 8.0257 Å, 104.72 104.72 31.01°
Closest atoms and distances in Å follow each position.
Atoms (fractional coordinates):
1 Tb 0.0444 0.0444 0.2278  9 Tb 3.55-3.60, 2 Dy 3.58, 1 Pr 3.59
2 Tb 0.1348 0.1348 0.6774  7 Tb 3.55-3.61, 2 Dy 3.56, 3 Pr 3.61-3.63
3 Tb 0.3191 0.3191 0.5918  1 Dy 3.57, 8 Tb 3.57-3.61, 3 Pr 3.58-3.59
4 Tb 0.4105 0.4105 0.0472  8 Tb 3.55-3.60, 1 Dy 3.57, 3 Pr 3.60-3.62
5 Tb 0.5895 0.5895 0.9528  8 Tb 3.55-3.60, 1 Dy 3.57, 3 Pr 3.60-3.62
6 Tb 0.6809 0.6809 0.4082  1 Dy 3.57, 8 Tb 3.57-3.61, 3 Pr 3.58-3.59
7 Tb 0.8652 0.8652 0.3226  7 Tb 3.55-3.61, 2 Dy 3.56, 3 Pr 3.61-3.63
8 Tb 0.9556 0.9556 0.7722  9 Tb 3.55-3.60, 2 Dy 3.58, 1 Pr 3.59
9 Pr 0.2269 0.2269 0.1376  10 Tb 3.58-3.63, 2 Pr 3.61
10 Pr 0.7731 0.7731 0.8624  10 Tb 3.58-3.63, 2 Pr 3.61
11 Dy 0.5000 0.5000 0.5000  12 Tb 3.56-3.58



[3]
Density functional theory data (PBE) for crystalline TbPr6Dy5 at its relaxed geometry.

Output
E_form (eV per formula unit): 0.19
N(E_F) (states/eV per atom): 1.336
SG: No. 71
V (Å³/atom): 33.8
Calculated density (g/cm³): 7.44

Cell: 9.5958 9.5958 9.5958 Å, 148.77 116.01 72.93°
Closest atoms and distances in Å follow each position.
Atoms (fractional coordinates):
1 Tb 0.0000 0.0000 0.0000  8 Pr 3.62-3.63, 4 Dy 3.65
2 Pr 0.0834 0.8333 0.2501  7 Dy 3.61-3.62, 1 Tb 3.62, 4 Pr 3.64-3.65
3 Pr 0.2501 0.5000 0.7501  6 Dy 3.61-3.62, 2 Tb 3.63, 4 Pr 3.65
4 Pr 0.4168 0.1667 0.2501  7 Dy 3.61-3.62, 1 Tb 3.62, 4 Pr 3.64-3.65
5 Pr 0.5832 0.8333 0.7499  7 Dy 3.61-3.62, 1 Tb 3.62, 4 Pr 3.64-3.65
6 Pr 0.7499 0.5000 0.2499  6 Dy 3.61-3.62, 2 Tb 3.63, 4 Pr 3.65
7 Pr 0.9166 0.1667 0.7499  7 Dy 3.61-3.62, 1 Tb 3.62, 4 Pr 3.64-3.65
8 Dy 0.1668 0.6668 0.5000  8 Pr 3.61-3.62, 2 Dy 3.64, 2 Tb 3.65
9 Dy 0.3334 0.3334 0.0000  8 Pr 3.61-3.62, 4 Dy 3.64
10 Dy 0.5000 0.0000 0.5000  8 Pr 3.62, 4 Dy 3.64
11 Dy 0.6666 0.6666 0.0000  8 Pr 3.61-3.62, 4 Dy 3.64
12 Dy 0.8332 0.3332 0.5000  8 Pr 3.61-3.62, 2 Dy 3.64, 2 Tb 3.65



[4]
Density functional theory data (PBE) for crystalline Tb4PrDy2 at its relaxed geometry.

Output
E_form (eV per formula unit): 0.23
N(E_F) (states/eV per atom): 1.425
SG: No. 12
V (Å³/atom): 32.5
Calculated density (g/cm³): 8.03

Cell: 8.5648 8.5648 8.7841 Å, 118.60 118.60 23.90°
Closest atoms and distances in Å follow each position.
Atoms (fractional coordinates):
1 Tb 0.1414 0.1414 0.3342  7 Tb 3.55-3.81, 4 Dy 3.61-3.62, 2 Pr 3.78
2 Tb 0.2057 0.2057 0.7945  3 Dy 3.32-3.51, 7 Tb 3.55-3.72, 2 Pr 3.61
3 Tb 0.7943 0.7943 0.2055  3 Dy 3.32-3.51, 7 Tb 3.55-3.72, 2 Pr 3.61
4 Tb 0.8586 0.8586 0.6658  7 Tb 3.55-3.81, 4 Dy 3.61-3.62, 2 Pr 3.78
5 Pr 0.5000 0.5000 0.5000  2 Dy 3.36, 2 Pr 3.55, 4 Tb 3.61
6 Dy 0.4296 0.4296 0.0698  1 Dy 3.15, 3 Tb 3.32-3.51, 1 Pr 3.36
7 Dy 0.5704 0.5704 0.9302  1 Dy 3.15, 3 Tb 3.32-3.51, 1 Pr 3.36



[5]
Density functional theory data (PBE) for crystalline Tb4PrDy5 at its relaxed geometry.

Output
E_form (eV per formula unit): 2.97
N(E_F) (states/eV per atom): 1.433
SG: No. 79
V (Å³/atom): 32.9
Calculated density (g/cm³): 8.02

Cell: 7.8927 7.8927 7.8927 Å, 99.10 99.10 133.14°
Closest atoms and distances in Å follow each position.
Atoms (fractional coordinates):
1 Tb 0.0492 0.6502 0.6995  4 Dy 3.22-3.53, 1 Tb 3.24
2 Tb 0.3498 0.0492 0.3990  4 Dy 3.22-3.53, 1 Tb 3.24
3 Tb 0.6502 0.9508 0.6010  4 Dy 3.22-3.53, 1 Tb 3.24
4 Tb 0.9508 0.3498 0.3005  4 Dy 3.22-3.53, 1 Tb 3.24
5 Pr 0.2330 0.2330 0.0000  1 Dy 2.88
6 Dy 0.2721 0.3575 0.6197  4 Tb 3.22-3.53, 1 Dy 3.29, 1 Pr 3.30
7 Dy 0.3575 0.7378 0.0854  4 Tb 3.22-3.53, 1 Dy 3.29, 1 Pr 3.30
8 Dy 0.6524 0.2721 0.9146  4 Tb 3.22-3.53, 1 Dy 3.29, 1 Pr 3.30
9 Dy 0.7378 0.6524 0.3803  4 Tb 3.22-3.53, 1 Dy 3.29, 1 Pr 3.30
10 Dy 0.7748 0.7748 0.0000  1 Pr 2.88



[6]
Density functional theory data (PBE) for crystalline Tb4Pr4Dy5 at its relaxed geometry.

Output
E_form (eV per formula unit): 0.25
N(E_F) (states/eV per atom): 1.404
SG: No. 87
V (Å³/atom): 33.0
Calculated density (g/cm³): 7.78

Cell: 9.5439 9.5439 9.5439 Å, 94.05 94.05 149.16°
Closest atoms and distances in Å follow each position.
Atoms (fractional coordinates):
1 Tb 0.1529 0.2290 0.3819  4 Pr 3.56-3.61, 6 Dy 3.57-3.65, 2 Tb 3.62
2 Tb 0.2290 0.8471 0.0760  4 Pr 3.56-3.61, 6 Dy 3.57-3.65, 2 Tb 3.62
3 Tb 0.7710 0.1529 0.9240  4 Pr 3.56-3.61, 6 Dy 3.57-3.65, 2 Tb 3.62
4 Tb 0.8471 0.7710 0.6181  4 Pr 3.56-3.61, 6 Dy 3.57-3.65, 2 Tb 3.62
5 Pr 0.0788 0.6181 0.6969  4 Tb 3.56-3.61, 3 Dy 3.61-3.65, 5 Pr 3.64-3.69
6 Pr 0.3819 0.0788 0.4607  4 Tb 3.56-3.61, 3 Dy 3.61-3.65, 5 Pr 3.64-3.69
7 Pr 0.6181 0.9212 0.5393  4 Tb 3.56-3.61, 3 Dy 3.61-3.65, 5 Pr 3.64-3.69
8 Pr 0.9212 0.3819 0.3031  4 Tb 3.56-3.61, 3 Dy 3.61-3.65, 5 Pr 3.64-3.69
9 Dy 0.0000 0.0000 0.0000  8 Dy 3.57, 4 Tb 3.58
10 Dy 0.3110 0.4608 0.7718  4 Dy 3.55-3.57, 5 Tb 3.57-3.65, 3 Pr 3.61-3.65
11 Dy 0.4608 0.6890 0.1498  4 Dy 3.55-3.57, 5 Tb 3.57-3.65, 3 Pr 3.61-3.65
12 Dy 0.5392 0.3110 0.8502  4 Dy 3.55-3.57, 5 Tb 3.57-3.65, 3 Pr 3.61-3.65
13 Dy 0.6890 0.5392 0.2282  4 Dy 3.55-3.57, 5 Tb 3.57-3.65, 3 Pr 3.61-3.65



[7]
Density functional theory data (PBE) for crystalline Tb3Pr2Dy6 at its relaxed geometry.

Output
E_form (eV per formula unit): 2.92
N(E_F) (states/eV per atom): 1.484
SG: No. 139
V (Å³/atom): 34.3
Calculated density (g/cm³): 7.64

Cell: 17.0492 17.0492 17.0492 Å, 163.99 163.99 22.72°
Closest atoms and distances in Å follow each position.
Atoms (fractional coordinates):
1 Tb 0.0000 0.0000 0.0000  8 Pr 3.70
2 Tb 0.2015 0.2015 0.0000  9 Dy 3.36-3.55
3 Tb 0.7985 0.7985 0.0000  9 Dy 3.36-3.55
4 Pr 0.4536 0.4536 0.0000  1 Pr 3.10
5 Pr 0.5464 0.5464 0.0000  1 Pr 3.10
6 Dy 0.1225 0.6225 0.5000  6 Dy 3.36-3.42, 2 Pr 3.48, 2 Tb 3.55
7 Dy 0.3039 0.3039 0.0000  5 Tb 3.36-3.42, 4 Dy 3.42
8 Dy 0.3775 0.8775 0.5000  6 Dy 3.36-3.42, 2 Pr 3.48, 2 Tb 3.55
9 Dy 0.6225 0.1225 0.5000  6 Dy 3.36-3.42, 2 Pr 3.48, 2 Tb 3.55
10 Dy 0.6961 0.6961 0.0000  5 Tb 3.36-3.42, 4 Dy 3.42
11 Dy 0.8775 0.3775 0.5000  6 Dy 3.36-3.42, 2 Pr 3.48, 2 Tb 3.55



[8]
Density functional theory data (PBE) for crystalline Tb2Pr3Dy6 at its relaxed geometry.

Output
E_form (eV per formula unit): 1.84
N(E_F) (states/eV per atom): 1.539
SG: No. 12
V (Å³/atom): 33.6
Calculated density (g/cm³): 7.70

Cell: 6.5360 6.5360 10.9090 Å, 92.87 92.87 126.98°
Closest atoms and distances in Å follow each position.
Atoms (fractional coordinates):
1 Tb 0.1386 0.8614 0.0000  1 Tb 3.24, 4 Dy 3.29-3.34
2 Tb 0.8614 0.1386 0.0000  1 Tb 3.24, 4 Dy 3.29-3.34
3 Pr 0.1874 0.8126 0.5000  4 Pr 3.26-3.65, 2 Dy 3.40
4 Pr 0.5000 0.5000 0.5000  6 Dy 3.36-3.72, 6 Pr 3.65-3.66
5 Pr 0.8126 0.1874 0.5000  4 Pr 3.26-3.65, 2 Dy 3.40
6 Dy 0.0680 0.0680 0.2691  2 Tb 3.34, 3 Pr 3.36-3.40, 4 Dy 3.49-3.52
7 Dy 0.2925 0.6034 0.7930  2 Tb 3.29-3.65, 5 Dy 3.49-3.66
8 Dy 0.3966 0.7075 0.2070  2 Tb 3.29-3.65, 5 Dy 3.49-3.66
9 Dy 0.6034 0.2925 0.7930  2 Tb 3.29-3.65, 5 Dy 3.49-3.66
10 Dy 0.7075 0.3966 0.2070  2 Tb 3.29-3.65, 5 Dy 3.49-3.66
11 Dy 0.9320 0.9320 0.7309  2 Tb 3.34, 3 Pr 3.36-3.40, 4 Dy 3.49-3.52



[9]
Density functional theory data (PBE) for crystalline Tb5Pr6Dy at its relaxed geometry.

Output
E_form (eV per formula unit): 0.18
N(E_F) (states/eV per atom): 1.347
SG: No. 71
V (Å³/atom): 34.0
Calculated density (g/cm³): 7.34

Cell: 9.6162 9.6162 9.6162 Å, 148.81 115.96 72.94°
Closest atoms and distances in Å follow each position.
Atoms (fractional coordinates):
1 Tb 0.0000 0.0000 0.0000  8 Pr 3.63, 4 Tb 3.65
2 Tb 0.1667 0.6667 0.5000  8 Pr 3.62-3.63, 4 Tb 3.65
3 Tb 0.3335 0.3335 0.0000  8 Pr 3.62-3.63, 2 Dy 3.65, 2 Tb 3.65
4 Tb 0.6665 0.6665 0.0000  8 Pr 3.62-3.63, 2 Dy 3.65, 2 Tb 3.65
5 Tb 0.8333 0.3333 0.5000  8 Pr 3.62-3.63, 4 Tb 3.65
6 Pr 0.0835 0.8333 0.2501  7 Tb 3.62-3.63, 1 Dy 3.62, 4 Pr 3.65
7 Pr 0.2501 0.5000 0.7501  6 Tb 3.62-3.63, 2 Dy 3.63, 4 Pr 3.65
8 Pr 0.4168 0.1667 0.2501  7 Tb 3.62-3.63, 1 Dy 3.62, 4 Pr 3.65
9 Pr 0.5832 0.8333 0.7499  7 Tb 3.62-3.63, 1 Dy 3.62, 4 Pr 3.65
10 Pr 0.7499 0.5000 0.2499  6 Tb 3.62-3.63, 2 Dy 3.63, 4 Pr 3.65
11 Pr 0.9165 0.1667 0.7499  7 Tb 3.62-3.63, 1 Dy 3.62, 4 Pr 3.65
12 Dy 0.5000 0.0000 0.5000  8 Pr 3.62-3.63, 4 Tb 3.65



[10]
Density functional theory data (PBE) for crystalline Tb7Pr2Dy at its relaxed geometry.

Output
E_form (eV per formula unit): 0.18
N(E_F) (states/eV per atom): 1.429
SG: No. 2
V (Å³/atom): 32.7
Calculated density (g/cm³): 7.91

Cell: 6.2139 6.2148 9.4934 Å, 102.63 109.06 99.54°
Closest atoms and distances in Å follow each position.
Atoms (fractional coordinates):
1 Tb 0.0000 0.0000 0.0000  8 Tb 3.58-3.60, 4 Pr 3.59
2 Tb 0.1982 0.4981 0.8993  8 Tb 3.58-3.60, 1 Dy 3.59, 3 Pr 3.59-3.61
3 Tb 0.2004 0.0000 0.4009  3 Pr 3.57-3.59, 7 Tb 3.58-3.60, 2 Dy 3.58-3.59
4 Tb 0.3988 0.5000 0.3009  8 Tb 3.57-3.60, 2 Dy 3.57-3.59, 2 Pr 3.59-3.60
5 Tb 0.6012 0.5000 0.6991  8 Tb 3.57-3.60, 2 Dy 3.57-3.59, 2 Pr 3.59-3.60
6 Tb 0.7996 0.0000 0.5991  3 Pr 3.57-3.59, 7 Tb 3.58-3.60, 2 Dy 3.58-3.59
7 Tb 0.8018 0.5019 0.1007  8 Tb 3.58-3.60, 1 Dy 3.59, 3 Pr 3.59-3.61
8 Pr 0.3994 0.9988 0.7987  10 Tb 3.57-3.61, 1 Dy 3.58, 1 Pr 3.61
9 Pr 0.6006 0.0012 0.2013  10 Tb 3.57-3.61, 1 Dy 3.58, 1 Pr 3.61
10 Dy 0.0000 0.5000 0.5000  10 Tb 3.57-3.59, 2 Pr 3.58